(1)
Tm5TeSe5: relaxed, GGA-PBE.

Cell: 7.0029 7.0029 8.1192 Å, 106.38 106.38 48.63°
Closest atoms and distances in Å follow each position.
Positions (direct):
Tm: 0.0000 0.0000 0.0000  4 Se 2.85-2.87, 2 Te 2.88
Tm: 0.3293 0.3293 0.6511  5 Se 2.80-2.89, 1 Te 2.99
Tm: 0.3320 0.3320 0.1820  5 Se 2.80-2.91, 1 Te 2.96
Tm: 0.6680 0.6680 0.8180  5 Se 2.80-2.91, 1 Te 2.96
Tm: 0.6707 0.6707 0.3489  5 Se 2.80-2.89, 1 Te 2.99
Te: 0.5000 0.5000 0.0000  6 Tm 2.88-2.99
Se: 0.1600 0.1600 0.3351  5 Tm 2.80-2.89
Se: 0.1708 0.1708 0.8379  5 Tm 2.87-2.91
Se: 0.5000 0.5000 0.5000  4 Tm 2.80-2.81
Se: 0.8292 0.8292 0.1621  5 Tm 2.87-2.91
Se: 0.8400 0.8400 0.6649  5 Tm 2.80-2.89

Properties
The value obtained for the energy relative to the elements, uncorrected is -1671 meV per atom. Its density of states at the Fermi level is 3.059 states/eV per cell.



(2)
Tm3TeSe2: relaxed, GGA-PBE.

Cell: 7.1177 7.1177 7.1177 Å, 146.26 131.74 60.18°
Closest atoms and distances in Å follow each position.
Positions (direct):
Tm: 0.0000 0.0000 0.0000  4 Se 2.87, 2 Te 2.91
Tm: 0.3157 0.3157 0.0000  4 Se 2.81-2.92, 2 Te 3.07
Tm: 0.6843 0.6843 0.0000  4 Se 2.81-2.92, 2 Te 3.07
Te: 0.5000 0.0000 0.5000  6 Tm 2.91-3.07
Se: 0.1612 0.6612 0.5000  6 Tm 2.81-2.92
Se: 0.8388 0.3388 0.5000  6 Tm 2.81-2.92

Properties
The value obtained for the energy relative to the elements, uncorrected is -1469 meV per atom. Its density of states at the Fermi level is 2.719 states/eV per cell.



(3)
TmTeSe: relaxed, GGA-PBE.

Cell: 4.8522 4.8522 7.5675 Å, 90.00 90.00 90.00°
Closest atoms and distances in Å follow each position.
Positions (direct):
Tm: 0.2500 0.2500 0.1881  4 Se 2.81
Tm: 0.7500 0.7500 0.8119  4 Se 2.81
Te: 0.2500 0.7500 0.5000  4 Tm 3.38, 4 Te 3.43, 2 Se 3.78
Te: 0.7500 0.2500 0.5000  4 Tm 3.38, 4 Te 3.43, 2 Se 3.78
Se: 0.2500 0.7500 0.0000  4 Tm 2.81
Se: 0.7500 0.2500 0.0000  4 Tm 2.81

Properties
The value obtained for the energy relative to the elements, uncorrected is -1247 meV per atom. Its density of states at the Fermi level is 1.767 states/eV per cell.



(4)
Tm5TeSe4: relaxed, GGA-PBE.

Cell: 7.1131 7.1131 9.9764 Å, 118.41 118.41 33.09°
Closest atoms and distances in Å follow each position.
Positions (direct):
Tm: 0.0000 0.0000 0.0000  6 Se 2.86-2.87
Tm: 0.2101 0.2101 0.8180  5 Se 2.82-2.89, 1 Te 3.04
Tm: 0.3851 0.3851 0.6062  4 Se 2.80-2.87, 2 Te 3.05
Tm: 0.6149 0.6149 0.3938  4 Se 2.80-2.87, 2 Te 3.05
Tm: 0.7899 0.7899 0.1820  5 Se 2.82-2.89, 1 Te 3.04
Te: 0.0000 0.0000 0.5000  6 Tm 3.04-3.05
Se: 0.2044 0.2044 0.2923  6 Tm 2.80-2.87
Se: 0.4078 0.4078 0.1092  6 Tm 2.82-2.89
Se: 0.5922 0.5922 0.8908  6 Tm 2.82-2.89
Se: 0.7956 0.7956 0.7077  6 Tm 2.80-2.87

Properties
The value obtained for the energy relative to the elements, uncorrected is -1554 meV per atom. Its density of states at the Fermi level is 5.184 states/eV per cell.



(5)
Tm6TeSe2: relaxed, GGA-PBE.

Cell: 8.7570 8.7570 7.9095 Å, 104.61 104.61 25.32°
Closest atoms and distances in Å follow each position.
Positions (direct):
Tm: 0.0039 0.0039 0.2136  1 Se 2.86, 2 Te 2.98
Tm: 0.3190 0.3190 0.4235  2 Se 2.86, 1 Te 2.99
Tm: 0.3396 0.3396 0.8984  3 Se 2.85-2.87
Tm: 0.6604 0.6604 0.1016  3 Se 2.85-2.87
Tm: 0.6810 0.6810 0.5765  2 Se 2.86, 1 Te 2.99
Tm: 0.9961 0.9961 0.7864  1 Se 2.86, 2 Te 2.98
Te: 0.5000 0.5000 0.5000  6 Tm 2.98-2.99
Se: 0.1679 0.1679 0.8365  6 Tm 2.85-2.87
Se: 0.8321 0.8321 0.1635  6 Tm 2.85-2.87

Properties
The value obtained for the energy relative to the elements, uncorrected is -906 meV per atom. Its density of states at the Fermi level is 7.983 states/eV per cell.



(6)
Tm3TeSe: relaxed, GGA-PBE.

Cell: 5.8777 5.3476 8.3130 Å, 90.00 90.00 90.00°
Closest atoms and distances in Å follow each position.
Positions (direct):
Tm: 0.0000 0.0000 0.0000  2 Tm 2.94, 2 Se 2.96, 4 Te 3.25
Tm: 0.2500 0.0000 0.3607  3 Se 2.75-2.97
Tm: 0.2500 0.5000 0.7364  2 Se 2.70
Tm: 0.5000 0.0000 0.0000  2 Tm 2.94, 2 Se 2.96, 4 Te 3.25
Tm: 0.7500 0.0000 0.6393  3 Se 2.75-2.97
Tm: 0.7500 0.5000 0.2636  2 Se 2.70
Te: 0.2500 0.5000 0.1336  9 Tm 3.13-3.30
Te: 0.7500 0.5000 0.8664  9 Tm 3.13-3.30
Se: 0.2500 0.0000 0.6912  7 Tm 2.70-2.97
Se: 0.7500 0.0000 0.3088  7 Tm 2.70-2.97

Properties
The value obtained for the energy relative to the elements, uncorrected is -914 meV per atom. Its density of states at the Fermi level is 6.876 states/eV per cell.



(7)
Tm5Te5Se: relaxed, GGA-PBE.

Cell: 7.3184 7.3184 8.4614 Å, 106.98 106.98 48.53°
Closest atoms and distances in Å follow each position.
Positions (direct):
Tm: 0.0000 0.0000 0.0000  2 Se 3.01, 4 Te 3.01-3.02
Tm: 0.3382 0.3382 0.1576  1 Se 2.88, 5 Te 3.01-3.11
Tm: 0.3444 0.3444 0.6827  1 Se 2.82, 5 Te 2.96-3.10
Tm: 0.6556 0.6556 0.3173  1 Se 2.82, 5 Te 2.96-3.10
Tm: 0.6618 0.6618 0.8424  1 Se 2.88, 5 Te 3.01-3.11
Te: 0.1611 0.1611 0.8196  5 Tm 3.01-3.07
Te: 0.1686 0.1686 0.3384  5 Tm 3.01-3.11
Te: 0.5000 0.5000 0.5000  4 Tm 2.96-3.01
Te: 0.8314 0.8314 0.6616  5 Tm 3.01-3.11
Te: 0.8389 0.8389 0.1804  5 Tm 3.01-3.07
Se: 0.5000 0.5000 0.0000  6 Tm 2.82-3.01

Properties
The value obtained for the energy relative to the elements, uncorrected is -1373 meV per atom. Its density of states at the Fermi level is 3.688 states/eV per cell.



(8)
Tm5Te5Se2: relaxed, GGA-PBE.

Cell: 7.2843 7.2843 12.6060 Å, 104.68 104.68 33.09°
Closest atoms and distances in Å follow each position.
Positions (direct):
Tm: 0.0000 0.0000 0.0000  2 Se 2.83, 4 Te 3.02
Tm: 0.1089 0.1089 0.4087  1 Se 2.79, 5 Te 2.98-3.13
Tm: 0.3151 0.3151 0.1932  2 Se 2.88, 5 Te 3.16-3.20
Tm: 0.6849 0.6849 0.8068  2 Se 2.88, 5 Te 3.16-3.20
Tm: 0.8911 0.8911 0.5913  1 Se 2.79, 5 Te 2.98-3.13
Te: 0.2514 0.2514 0.6461  5 Tm 3.05-3.20
Te: 0.3368 0.3368 0.9484  5 Tm 3.02-3.18
Te: 0.5000 0.5000 0.5000  4 Tm 2.98
Te: 0.6632 0.6632 0.0516  5 Tm 3.02-3.18
Te: 0.7486 0.7486 0.3539  5 Tm 3.05-3.20
Se: 0.0386 0.0386 0.7904  4 Tm 2.79-2.88
Se: 0.9614 0.9614 0.2096  4 Tm 2.79-2.88

Properties
The value obtained for the energy relative to the elements, uncorrected is -1449 meV per atom. Its density of states at the Fermi level is 2.463 states/eV per cell.



(9)
Tm6TeSe5: relaxed, GGA-PBE.

Cell: 7.0708 7.0708 7.0516 Å, 99.70 99.70 120.43°
Closest atoms and distances in Å follow each position.
Positions (direct):
Tm: 0.0599 0.4091 0.2271  5 Se 2.78-2.93, 1 Te 3.06
Tm: 0.2360 0.2360 0.7607  5 Se 2.74-2.89, 1 Te 3.02
Tm: 0.4091 0.0599 0.2271  5 Se 2.78-2.93, 1 Te 3.06
Tm: 0.5909 0.9401 0.7729  5 Se 2.78-2.93, 1 Te 3.06
Tm: 0.7640 0.7640 0.2393  5 Se 2.74-2.89, 1 Te 3.02
Tm: 0.9401 0.5909 0.7729  5 Se 2.78-2.93, 1 Te 3.06
Te: 0.5000 0.5000 0.5000  6 Tm 3.02-3.06
Se: 0.0000 0.0000 0.0000  6 Tm 2.74-2.84
Se: 0.1691 0.8309 0.5000  6 Tm 2.89-2.93
Se: 0.3428 0.6572 0.0000  6 Tm 2.78-2.85
Se: 0.6572 0.3428 0.0000  6 Tm 2.78-2.85
Se: 0.8309 0.1691 0.5000  6 Tm 2.89-2.93

Properties
The value obtained for the energy relative to the elements, uncorrected is -1570 meV per atom. Its density of states at the Fermi level is 5.144 states/eV per cell.



(10)
Tm3Te2Se: relaxed, GGA-PBE.

Cell: 9.6833 9.6833 5.8842 Å, 90.00 90.00 35.39°
Closest atoms and distances in Å follow each position.
Positions (direct):
Tm: 0.1047 0.6056 0.2500  1 Se 2.67, 4 Te 2.99
Tm: 0.2494 0.7506 0.7500  4 Se 2.94, 2 Te 3.21
Tm: 0.3944 0.8953 0.2500  1 Se 2.67, 4 Te 2.99
Tm: 0.6056 0.1047 0.7500  1 Se 2.67, 4 Te 2.99
Tm: 0.7506 0.2494 0.2500  4 Se 2.94, 2 Te 3.21
Tm: 0.8953 0.3944 0.7500  1 Se 2.67, 4 Te 2.99
Te: 0.0764 0.5756 0.7500  6 Tm 2.99-3.34
Te: 0.4244 0.9236 0.7500  6 Tm 2.99-3.34
Te: 0.5756 0.0764 0.2500  6 Tm 2.99-3.34
Te: 0.9236 0.4244 0.2500  6 Tm 2.99-3.34
Se: 0.2505 0.7495 0.2500  6 Tm 2.67-2.94
Se: 0.7495 0.2505 0.7500  6 Tm 2.67-2.94

Properties
The value obtained for the energy relative to the elements, uncorrected is -1330 meV per atom. Its density of states at the Fermi level is 2.985 states/eV per cell.



(11)
Tm3TeSe: relaxed, GGA-PBE.

Cell: 6.9039 3.9552 10.8068 Å, 90.00 99.75 90.00°
Closest atoms and distances in Å follow each position.
Positions (direct):
Tm: 0.1724 0.2500 0.4387  3 Te 3.03-3.18, 1 Se 3.11
Tm: 0.2827 0.7500 0.7394  1 Se 2.71, 2 Te 2.97
Tm: 0.2944 0.7500 0.0608  3 Se 2.91-2.96, 1 Te 3.10
Tm: 0.7056 0.2500 0.9392  3 Se 2.91-2.96, 1 Te 3.10
Tm: 0.7173 0.2500 0.2606  1 Se 2.71, 2 Te 2.97
Tm: 0.8276 0.7500 0.5613  3 Te 3.03-3.18, 1 Se 3.11
Te: 0.4487 0.7500 0.3475  6 Tm 2.97-3.18
Te: 0.5513 0.2500 0.6525  6 Tm 2.97-3.18
Se: 0.0413 0.2500 0.1493  4 Tm 2.71-2.96
Se: 0.9587 0.7500 0.8507  4 Tm 2.71-2.96

Properties
The value obtained for the energy relative to the elements, uncorrected is -959 meV per atom. Its density of states at the Fermi level is 8.987 states/eV per cell.



(12)
YTmTeSe: relaxed, GGA-PBE.

Cell: 7.5942 7.5942 7.5942 Å, 31.20 31.20 31.20°
Closest atoms and distances in Å follow each position.
Positions (direct):
Y: 0.0000 0.0000 0.0000  3 Se 2.89, 3 Te 3.14
Tm: 0.8127 0.8127 0.8127  3 Se 2.79, 3 Te 3.08
Te: 0.2373 0.2373 0.2373  3 Tm 3.08, 3 Y 3.14
Se: 0.4103 0.4103 0.4103  3 Tm 2.79, 3 Y 2.89

Properties
The value obtained for the energy relative to the elements, uncorrected is -1537 meV per atom. Its density of states at the Fermi level is 0.225 states/eV per cell.



(13)
Tm6ZnTe3Se2: relaxed, GGA-PBE.

Cell: 7.2001 7.2001 7.3559 Å, 99.32 99.32 119.92°
Closest atoms and distances in Å follow each position.
Positions (direct):
Tm: 0.0722 0.3923 0.2184  1 Zn 2.76, 2 Se 2.88-2.90, 2 Te 3.06-3.07
Tm: 0.2448 0.2448 0.7774  1 Zn 2.77, 2 Se 2.89, 2 Te 3.10
Tm: 0.3923 0.0722 0.2184  1 Zn 2.76, 2 Se 2.88-2.90, 2 Te 3.06-3.07
Tm: 0.6077 0.9278 0.7816  1 Zn 2.76, 2 Se 2.88-2.90, 2 Te 3.06-3.07
Tm: 0.7552 0.7552 0.2226  1 Zn 2.77, 2 Se 2.89, 2 Te 3.10
Tm: 0.9278 0.6077 0.7816  1 Zn 2.76, 2 Se 2.88-2.90, 2 Te 3.06-3.07
Zn: 0.0000 0.0000 0.0000  6 Tm 2.76-2.77
Te: 0.1728 0.8272 0.5000  6 Tm 3.06-3.13
Te: 0.5000 0.5000 0.5000  6 Tm 3.07-3.16
Te: 0.8272 0.1728 0.5000  6 Tm 3.06-3.13
Se: 0.3349 0.6651 0.0000  6 Tm 2.88-2.90
Se: 0.6651 0.3349 0.0000  6 Tm 2.88-2.90

Properties
The value obtained for the energy relative to the elements, uncorrected is -1249 meV per atom. Its density of states at the Fermi level is 3.388 states/eV per cell.



(14)
U2TeSe2: relaxed, GGA-PBE.

Cell: 7.5173 7.5173 7.5173 Å, 148.04 135.49 55.84°
Closest atoms and distances in Å follow each position.
Positions (direct):
U: 0.1725 0.1725 0.0000  4 Se 2.85-2.88, 2 Te 3.09
U: 0.8275 0.8275 0.0000  4 Se 2.85-2.88, 2 Te 3.09
Te: 0.0000 0.5000 0.5000  4 U 3.09
Se: 0.3238 0.8238 0.5000  4 U 2.85-2.88
Se: 0.6762 0.1762 0.5000  4 U 2.85-2.88

Properties
The value obtained for the energy relative to the elements, uncorrected is -925 meV per atom. Its density of states at the Fermi level is 12.289 states/eV per cell.



(15)
UTeSe3: relaxed, GGA-PBE.

Cell: 9.1671 9.1671 8.1837 Å, 112.82 112.82 26.53°
Closest atoms and distances in Å follow each position.
Positions (direct):
U: 0.1984 0.1984 0.1709  5 Se 2.76-3.02
U: 0.8016 0.8016 0.8291  5 Se 2.76-3.02
Te: 0.4372 0.4372 0.0638  1 Te 2.83
Te: 0.5628 0.5628 0.9362  1 Te 2.83
Se: 0.0821 0.0821 0.3133  2 Se 2.74, 1 U 2.76
Se: 0.1918 0.1918 0.8134  3 U 2.84-2.88
Se: 0.3121 0.3121 0.5595  4 Se 2.74-2.93, 1 U 3.02
Se: 0.6879 0.6879 0.4405  4 Se 2.74-2.93, 1 U 3.02
Se: 0.8082 0.8082 0.1866  3 U 2.84-2.88
Se: 0.9179 0.9179 0.6867  2 Se 2.74, 1 U 2.76

Properties
The value obtained for the energy relative to the elements, uncorrected is -581 meV per atom. Its density of states at the Fermi level is 13.512 states/eV per cell.



(16)
UTeSe: relaxed, GGA-PBE.

Cell: 7.8588 4.2639 9.2768 Å, 90.00 90.00 90.00°
Closest atoms and distances in Å follow each position.
Positions (direct):
U: 0.2196 0.2500 0.1296  4 Se 2.89-2.97
U: 0.2804 0.7500 0.6296  4 Se 2.89-2.97
U: 0.7196 0.2500 0.3704  4 Se 2.89-2.97
U: 0.7804 0.7500 0.8704  4 Se 2.89-2.97
Te: 0.0291 0.7500 0.3406  5 U 3.25-3.33, 4 Se 3.43-3.56
Te: 0.4709 0.2500 0.8406  5 U 3.25-3.33, 4 Se 3.43-3.56
Te: 0.5291 0.7500 0.1594  5 U 3.25-3.33, 4 Se 3.43-3.56
Te: 0.9709 0.2500 0.6594  5 U 3.25-3.33, 4 Se 3.43-3.56
Se: 0.1461 0.7500 0.9291  4 U 2.89-2.97
Se: 0.3539 0.2500 0.4291  4 U 2.89-2.97
Se: 0.6461 0.7500 0.5709  4 U 2.89-2.97
Se: 0.8539 0.2500 0.0709  4 U 2.89-2.97

Properties
The value obtained for the energy relative to the elements, uncorrected is -914 meV per atom. Its density of states at the Fermi level is 31.811 states/eV per cell.



(17)
U3TeSe3: relaxed, GGA-PBE.

Cell: 7.6533 7.6533 7.6533 Å, 70.51 70.51 70.51°
Closest atoms and distances in Å follow each position.
Positions (direct):
U: 0.0839 0.4451 0.7058  5 Se 2.87-3.10, 2 Te 3.10-3.11
U: 0.2942 0.9161 0.5549  5 Se 2.87-3.10, 2 Te 3.10-3.11
U: 0.4451 0.7058 0.0839  5 Se 2.87-3.10, 2 Te 3.10-3.11
U: 0.5549 0.2942 0.9161  5 Se 2.87-3.10, 2 Te 3.10-3.11
U: 0.7058 0.0839 0.4451  5 Se 2.87-3.10, 2 Te 3.10-3.11
U: 0.9161 0.5549 0.2942  5 Se 2.87-3.10, 2 Te 3.10-3.11
Te: 0.3274 0.3274 0.3274  6 U 3.10-3.11
Te: 0.6726 0.6726 0.6726  6 U 3.10-3.11
Se: 0.0906 0.8086 0.3688  5 U 2.87-3.10
Se: 0.1914 0.6312 0.9094  5 U 2.87-3.10
Se: 0.3688 0.0906 0.8086  5 U 2.87-3.10
Se: 0.6312 0.9094 0.1914  5 U 2.87-3.10
Se: 0.8086 0.3688 0.0906  5 U 2.87-3.10
Se: 0.9094 0.1914 0.6312  5 U 2.87-3.10

Properties
The value obtained for the energy relative to the elements, uncorrected is -882 meV per atom. Its density of states at the Fermi level is 35.235 states/eV per cell.



(18)
U2TeSe: relaxed, GGA-PBE.

Cell: 7.0965 7.0965 7.0965 Å, 35.05 35.05 35.05°
Closest atoms and distances in Å follow each position.
Positions (direct):
U: 0.2401 0.2401 0.2401  3 Se 2.87, 3 Te 3.09
U: 0.7599 0.7599 0.7599  3 Se 2.87, 3 Te 3.09
Te: 0.0000 0.0000 0.0000  6 U 3.09
Se: 0.5000 0.5000 0.5000  6 U 2.87

Properties
The value obtained for the energy relative to the elements, uncorrected is -709 meV per atom. Its density of states at the Fermi level is 10.844 states/eV per cell.



(19)
U2TeSe: relaxed, GGA-PBE.

Cell: 8.3546 8.3546 8.3546 Å, 26.99 26.99 26.99°
Closest atoms and distances in Å follow each position.
Positions (direct):
U: 0.0000 0.0000 0.0000  3 Se 2.97, 3 Te 3.08
U: 0.1595 0.1595 0.1595  3 Se 2.95, 3 Te 3.07
Te: 0.5793 0.5793 0.5793  6 U 3.07-3.08
Se: 0.7470 0.7470 0.7470  6 U 2.95-2.97

Properties
The value obtained for the energy relative to the elements, uncorrected is -613 meV per atom. Its density of states at the Fermi level is 8.360 states/eV per cell.



(20)
UTe2Se2: relaxed, GGA-PBE.

Cell: 8.0530 8.0530 8.0530 Å, 34.37 34.37 34.37°
Closest atoms and distances in Å follow each position.
Positions (direct):
U: 0.0000 0.0000 0.0000  6 Se 2.94, 2 Te 3.26
Te: 0.1438 0.1438 0.1438  3 Te 2.94, 1 U 3.26
Te: 0.8562 0.8562 0.8562  3 Te 2.94, 1 U 3.26
Se: 0.3792 0.3792 0.3792  3 U 2.94
Se: 0.6208 0.6208 0.6208  3 U 2.94

Properties
The value obtained for the energy relative to the elements, uncorrected is -510 meV per atom. Its density of states at the Fermi level is 6.929 states/eV per cell.